## LiVP3O9 (GGA+U)

Data for an optimized crystal structure of LiVP3O9.

Results
The value obtained for the total energy is -7.1520 eV per atom. The value obtained for the distance to the lowest polymorph of the same formula is 46 meV/atom. The calculation puts the calculated density at 2.6 g/cm³.

abc: 5.3240 11.5592 12.3230
angles: 90.00 90.00 90.00
Closest atoms and distances in Å follow each position.
Positions (direct):
Li 0.0000 0.1401 0.1651  3 O 2.01-2.09
Li 0.0000 0.6401 0.3349  3 O 2.01-2.09
Li 0.5000 0.3599 0.8349  3 O 2.01-2.09
Li 0.5000 0.8599 0.6651  3 O 2.01-2.09
V 0.1202 0.4883 0.1268  5 O 2.13-2.21
V 0.3798 0.5117 0.6268  5 O 2.13-2.21
V 0.6202 0.0117 0.8732  5 O 2.13-2.21
V 0.8798 0.9883 0.3732  5 O 2.13-2.21
P 0.1035 0.8205 0.8344  4 O 1.49-1.64
P 0.1066 0.5687 0.8647  4 O 1.49-1.62
P 0.1177 0.1648 0.8297  4 O 1.50-1.62
P 0.3823 0.8352 0.3297  4 O 1.50-1.62
P 0.3934 0.4313 0.3647  4 O 1.49-1.62
P 0.3965 0.1795 0.3344  4 O 1.49-1.64
P 0.6035 0.6795 0.1656  4 O 1.49-1.64
P 0.6066 0.9313 0.1353  4 O 1.49-1.62
P 0.6177 0.3352 0.1703  4 O 1.50-1.62
P 0.8823 0.6648 0.6703  4 O 1.50-1.62
P 0.8934 0.0687 0.6353  4 O 1.49-1.62
P 0.8965 0.3205 0.6656  4 O 1.49-1.64
O 0.0049 0.5103 0.9629  1 P 1.49
O 0.0173 0.7826 0.7116  2 P 1.62-1.64
O 0.0504 0.6133 0.5856  1 P 1.50
O 0.1102 0.8123 0.3571  1 P 1.51
O 0.1165 0.3702 0.6077  1 P 1.49
O 0.1237 0.0892 0.7186  2 P 1.62
O 0.1596 0.1118 0.3146  1 P 1.50
O 0.1830 0.4912 0.3040  1 P 1.51
O 0.1881 0.7003 0.8899  2 P 1.61
O 0.3119 0.2997 0.3899  2 P 1.61
O 0.3170 0.5088 0.8040  1 P 1.51
O 0.3404 0.8882 0.8146  1 P 1.50
O 0.3763 0.9108 0.2186  2 P 1.62
O 0.3835 0.6298 0.1077  1 P 1.49
O 0.3898 0.1877 0.8571  1 P 1.51
O 0.4496 0.3867 0.0856  1 P 1.50
O 0.4827 0.2174 0.2116  2 P 1.62-1.64
O 0.4951 0.4897 0.4629  1 P 1.49
O 0.5049 0.9897 0.0371  1 P 1.49
O 0.5173 0.7174 0.2884  2 P 1.62-1.64
O 0.5504 0.8867 0.4144  1 P 1.50
O 0.6102 0.6877 0.6429  1 P 1.51
O 0.6165 0.1298 0.3923  1 P 1.49
O 0.6237 0.4108 0.2814  2 P 1.62
O 0.6596 0.3882 0.6854  1 P 1.50
O 0.6830 0.0088 0.6960  1 P 1.51
O 0.6881 0.7997 0.1101  2 P 1.61
O 0.8119 0.2003 0.6101  2 P 1.61
O 0.8170 0.9912 0.1960  1 P 1.51
O 0.8404 0.6118 0.1854  1 P 1.50
O 0.8763 0.5892 0.7814  2 P 1.62
O 0.8835 0.8702 0.8923  1 P 1.49
O 0.8898 0.3123 0.1429  1 P 1.51
O 0.9496 0.1133 0.9144  1 P 1.50
O 0.9827 0.2826 0.7884  2 P 1.62-1.64
O 0.9951 0.0103 0.5371  1 P 1.49